1.
Here is DyVRh2 after structural relaxation from Alexandria via LeMat-Bulk. Energies are from PBE.

Computed properties:
- Calculated volume: 67.2 Å³ per cell
- Space group: No. 123
- DOS at the Fermi energy: 1.0007 states/eV per atom
- Distance to the lowest polymorph of the same formula: 0.000 eV/atom
- DFT formation energy: -0.473 eV per atom
- Total energy: -0.2785 Ha/atom

Lattice parameters (Å, degrees): 3.061 3.061 7.178 90.00 90.00 90.00
Fractional positions:
V (0.500, 0.500, 0.000)
Rh (0.000, 0.000, 0.798)
Rh (0.000, 0.000, 0.202)
Dy (0.500, 0.500, 0.500)


2.
Here is DyYRh4 after structural relaxation from Alexandria via LeMat-Bulk. Energies are from PBE.

Computed properties:
- Calculated volume: 107.7 Å³ per cell
- Space group: No. 216
- DOS at the Fermi energy: 0.6987 states/eV per atom
- DFT formation energy: -0.738 eV per atom
- Total energy: -0.2750 Ha/atom

Lattice parameters (Å, degrees): 5.341 5.341 5.341 60.00 60.00 60.00
Fractional positions:
Y (0.250, 0.250, 0.250)
Rh (0.625, 0.625, 0.125)
Rh (0.625, 0.125, 0.625)
Rh (0.625, 0.625, 0.625)
Rh (0.125, 0.625, 0.625)
Dy (0.000, 0.000, 0.000)


3.
Here is DyY2Rh9 after structural relaxation from Alexandria via LeMat-Bulk. Energies are from PBE.

Computed properties:
- Calculated volume: 210.5 Å³ per cell
- Space group: No. 166
- DOS at the Fermi energy: 1.0403 states/eV per atom
- DFT formation energy: -0.564 eV per atom
- Total energy: -0.2770 Ha/atom

Lattice parameters (Å, degrees): 5.260 5.260 9.294 73.56 73.56 60.00
Fractional positions:
Dy (0.000, 0.000, 0.000)
Y (0.861, 0.861, 0.417)
Y (0.139, 0.139, 0.583)
Rh (0.667, 0.667, 0.999)
Rh (0.333, 0.333, 0.001)
Rh (0.500, 0.500, 0.500)
Rh (0.417, 0.417, 0.247)
Rh (0.918, 0.417, 0.247)
Rh (0.417, 0.918, 0.247)
Rh (0.583, 0.583, 0.753)
Rh (0.583, 0.082, 0.753)
Rh (0.082, 0.583, 0.753)


4.
Here is DyY4Rh2 after structural relaxation from Alexandria via LeMat-Bulk. Energies are from PBE.

Computed properties:
- Calculated volume: 366.3 Å³ per cell
- Space group: No. 11
- DOS at the Fermi energy: 1.1941 states/eV per atom
- DFT formation energy: -0.460 eV per atom
- Total energy: -0.2540 Ha/atom

Lattice parameters (Å, degrees): 6.388 7.899 7.877 112.83 90.00 90.00
Fractional positions:
Dy (0.250, 0.841, 0.971)
Dy (0.750, 0.159, 0.029)
Y (0.502, 0.412, 0.763)
Y (0.250, 0.247, 0.335)
Y (0.750, 0.753, 0.665)
Y (0.998, 0.412, 0.763)
Y (0.750, 0.017, 0.383)
Y (0.002, 0.588, 0.237)
Y (0.498, 0.588, 0.237)
Y (0.250, 0.983, 0.617)
Rh (0.250, 0.252, 0.989)
Rh (0.750, 0.748, 0.011)
Rh (0.750, 0.373, 0.409)
Rh (0.250, 0.627, 0.591)


What is the formula in the first record? DyVRh2


What is the calculated volume in the third record? 210.5 Å³ per cell


DFT formation energy of number 4 (DyY4Rh2)? -0.460 eV per atom


Please write out number 3 again, unchanged.
Here is DyY2Rh9 after structural relaxation from Alexandria via LeMat-Bulk. Energies are from PBE.

Computed properties:
- Calculated volume: 210.5 Å³ per cell
- Space group: No. 166
- DOS at the Fermi energy: 1.0403 states/eV per atom
- DFT formation energy: -0.564 eV per atom
- Total energy: -0.2770 Ha/atom

Lattice parameters (Å, degrees): 5.260 5.260 9.294 73.56 73.56 60.00
Fractional positions:
Dy (0.000, 0.000, 0.000)
Y (0.861, 0.861, 0.417)
Y (0.139, 0.139, 0.583)
Rh (0.667, 0.667, 0.999)
Rh (0.333, 0.333, 0.001)
Rh (0.500, 0.500, 0.500)
Rh (0.417, 0.417, 0.247)
Rh (0.918, 0.417, 0.247)
Rh (0.417, 0.918, 0.247)
Rh (0.583, 0.583, 0.753)
Rh (0.583, 0.082, 0.753)
Rh (0.082, 0.583, 0.753)